# 1
Below is a relaxed structure of Bi6Pd2Pt, with properties calculated at the GGA-PBE level.

```
9
Lattice="7.095 0.000 0.000 -3.548 6.145 0.000 0.000 0.000 5.728" Properties=species:S:1:pos:R:3 pbc="T T T"
Bi -1.268 2.197 1.596
Bi -2.279 3.948 4.132
Bi 2.537 0.000 1.596
Bi 1.268 2.197 4.132
Bi 4.559 0.000 4.132
Bi 2.279 3.948 1.596
Pd 0.000 4.097 0.000
Pd 3.548 2.048 0.000
Pt 0.000 0.000 2.864
```

Output
The calculation puts the energy above the lowest structure with this stoichiometry at 0 meV per atom. The value obtained for the total moment is 0.0 μB per formula unit. The calculation puts the formation energy at -0.188 eV per atom. As for the space-group type: P-31m (162). The density of states at the Fermi level is 3.7 states/eV per cell. Its total energy is -4.600 eV per atom.

=====

# 2
Below is a relaxed structure of NaLaTi8Cu6O24, with properties calculated at the GGA-PBE level.

```
40
Lattice="7.474 0.000 0.000 0.000 7.474 0.000 0.000 0.000 7.474" Properties=species:S:1:pos:R:3 pbc="T T T"
Na 0.000 0.000 0.000
La 3.737 3.737 3.737
Ti 1.834 1.834 1.834
Ti 1.834 1.834 5.640
Ti 1.834 5.640 1.834
Ti 1.834 5.640 5.640
Ti 5.640 1.834 1.834
Ti 5.640 1.834 5.640
Ti 5.640 5.640 1.834
Ti 5.640 5.640 5.640
Cu 0.000 0.000 3.737
Cu 0.000 3.737 0.000
Cu 0.000 3.737 3.737
Cu 3.737 0.000 0.000
Cu 3.737 0.000 3.737
Cu 3.737 3.737 0.000
O 0.000 2.289 1.334
O 0.000 2.289 6.140
O 0.000 5.185 1.334
O 0.000 5.185 6.140
O 1.334 0.000 2.289
O 1.334 0.000 5.185
O 1.479 2.404 3.737
O 1.479 5.071 3.737
O 2.289 1.334 0.000
O 2.289 6.140 0.000
O 2.404 3.737 1.479
O 2.404 3.737 5.996
O 3.737 1.479 2.404
O 3.737 1.479 5.071
O 3.737 5.996 2.404
O 3.737 5.996 5.071
O 5.071 3.737 1.479
O 5.071 3.737 5.996
O 5.185 1.334 0.000
O 5.185 6.140 0.000
O 5.996 2.404 3.737
O 5.996 5.071 3.737
O 6.140 0.000 2.289
O 6.140 0.000 5.185
```

Output
The value obtained for the total moment is 5.9 μB per formula unit. As for the space-group type: Pm-3 (200). The value obtained for the formation energy without anion corrections is -2.2533 eV per atom. The density of states at the Fermi level is 3.6 states/eV per cell. Its total energy is -7.578 eV per atom.